Material: SmZrOsRh
Method: DFT, PBE
State: relaxed

a b c (Å): 4.7898 4.7898 4.7898
angles (deg): 60.00 60.00 60.00
Closest atoms and distances in Å follow each position.
Fractional coordinates of all 4 atoms:
1 Rh 0.5000 0.5000 0.5000  4 Zr 2.93, 4 Sm 2.93
2 Zr 0.2500 0.2500 0.2500  4 Os 2.93, 4 Rh 2.93
3 Os 0.0000 0.0000 0.0000  4 Zr 2.93, 4 Sm 2.93
4 Sm 0.7500 0.7500 0.7500  4 Os 2.93, 4 Rh 2.93

* calculated volume: 77.7 Å³/f.u.
* energy relative to the elements: -0.4393 eV per atom
* space group: No. 216
* DOS at the Fermi energy: 1.5 states/eV/f.u.

Material: CoAsOs2
Method: DFT, PBE
State: relaxed

a b c (Å): 4.7130 5.0893 2.7889
angles (deg): 75.66 86.74 116.58
Closest atoms and distances in Å follow each position.
Fractional coordinates of all 4 atoms:
1 Co 0.5000 0.5000 0.0000  4 Os 2.58, 4 As 2.67-2.81, 2 Co 2.79
2 Os 0.0000 0.0000 0.0000  2 As 2.58, 2 Co 2.58, 6 Os 2.67-2.81
3 Os 0.5000 0.0000 0.5000  2 Co 2.58, 2 As 2.58, 6 Os 2.67-2.81
4 As 0.0000 0.5000 0.5000  4 Os 2.58, 4 Co 2.67-2.81, 2 As 2.79

* calculated volume: 56.9 Å³/f.u.
* energy relative to the elements: 0.5762 eV per atom
* space group: No. 12
* DOS at the Fermi energy: 5.5 states/eV/f.u.

Material: CrHg2Ir
Method: DFT, PBE
State: relaxed

a b c (Å): 4.1977 4.1977 4.0377
angles (deg): 90.00 90.00 90.00
Closest atoms and distances in Å follow each position.
Fractional coordinates of all 4 atoms:
1 Hg 0.0000 0.0000 0.0000  4 Cr 2.91, 4 Ir 2.91, 4 Hg 2.97
2 Hg 0.5000 0.5000 0.0000  4 Cr 2.91, 4 Ir 2.91, 4 Hg 2.97
3 Ir 0.5000 0.0000 0.5000  8 Hg 2.91, 4 Cr 2.97
4 Cr 0.0000 0.5000 0.5000  8 Hg 2.91, 4 Ir 2.97

* calculated volume: 71.1 Å³/f.u.
* energy relative to the elements: 0.4337 eV per atom
* space group: No. 123
* DOS at the Fermi energy: 1.2 states/eV/f.u.

> Which value of calculated volume does entry 2 give?

56.9 Å³/f.u.